Ho6In6Sn: optimized geometry, PBE.

The structure in extended XYZ format:
```
13
Lattice="6.353 0.000 0.000 -3.177 5.502 0.000 0.000 0.000 10.385" Properties=species:S:1:pos:R:3 pbc="T T T"
Ho 0.000 0.000 1.994
Ho 0.000 0.000 8.391
Ho 0.000 3.668 0.000
Ho 0.000 3.668 5.193
Ho 3.177 1.834 0.000
Ho 3.177 1.834 5.193
In -1.588 2.751 2.579
In -1.588 2.751 7.806
In 3.177 0.000 2.579
In 3.177 0.000 7.806
In 1.588 2.751 2.579
In 1.588 2.751 7.806
Sn 0.000 0.000 5.193
```

## Properties
As for the space group: No. 191. As for the electronic total energy: -51.9 eV/cell.